No. 1
A relaxed structure of Na2Be2VO6. Source: Alexandria, functional GGA+U.

Calculated values
D(E_F) (states/eV/cell): 6.15

Cell lengths 5.1903, 5.1903, 6.0030 Å; angles 90.00, 90.00, 120.00 degrees
Space group P-3 (No. 147)
Inequivalent atoms, fractional coordinates:
Na1 0.3333 0.6667 0.2916 x2
Be1 0.3333 0.6667 0.8182 x2
V1 0.0000 0.0000 0.0000 x1
O1 0.1098 0.7753 0.8149 x6

***

No. 2
A relaxed structure of Na2BeVO4. Source: Alexandria, functional GGA+U.

Cell lengths 5.128, 5.128, 7.243 Å; angles 90.00, 90.00, 90.00 degrees
Space group I-4 (No. 82)
Inequivalent atoms, fractional coordinates:
Na1 0.000 0.000 0.000 x2
Na2 0.000 0.500 0.250 x2
Be1 0.000 0.000 0.500 x2
V1 0.000 0.500 0.750 x2
O1 0.149 0.229 0.625 x8

***

No. 3
A relaxed structure of Na2BeWO6. Source: Alexandria, functional GGA+U.

Calculated values
D(E_F) (states/eV/cell): 6.72

Cell lengths 5.5988, 5.5988, 4.9163 Å; angles 90.00, 90.00, 120.00 degrees
Space group P-3m1 (No. 164)
Inequivalent atoms, fractional coordinates:
Na1 0.3333 0.6667 0.4167 x2
Be1 0.0000 0.0000 0.5000 x1
W1 0.0000 0.0000 0.0000 x1
O1 0.1500 0.3000 0.7372 x6

***

No. 4
A relaxed structure of Na2Be2WO6. Source: Alexandria, functional GGA+U.

Calculated values
D(E_F) (states/eV/cell): 0.00

Cell lengths 5.1976, 5.1976, 5.9461 Å; angles 90.00, 90.00, 120.00 degrees
Space group P-3 (No. 147)
Inequivalent atoms, fractional coordinates:
Na1 0.3333 0.6667 0.3355 x2
Be1 0.3333 0.6667 0.8256 x2
W1 0.0000 0.0000 0.0000 x1
O1 0.0862 0.7464 0.8089 x6

***

Short version: size of the total moment = 1.059, 1.000, 2.017, 0.000 μB/f.u., in the order given.
Short version: calculated total energy = -6.101, -6.249, -5.797, -6.406 eV/atom, in the order given.